The following is a PBE-GGA calculation of an optimized crystal structure of TmNiGe3, from the Open Quantum Materials Database.

The final energy is -5.32 eV/atom.

a b c (Å): 11.0284 11.0284 4.0537
angles (deg): 90.00 90.00 158.71
Atoms (fractional coordinates):
Tm 0.1688 0.8312 0.0000
Tm 0.8312 0.1688 0.0000
Ni 0.3884 0.6116 0.5000
Ni 0.6116 0.3884 0.5000
Ge 0.0575 0.9425 0.5000
Ge 0.2832 0.7168 0.5000
Ge 0.4427 0.5573 0.0000
Ge 0.5573 0.4427 0.0000
Ge 0.7168 0.2832 0.5000
Ge 0.9425 0.0575 0.5000